# 1
Density functional theory data (PBE) for a relaxed structure of Pm6PtPb2.

Results
M_tot   0.00 μB/atom
Formation energy from the elements   -5.05 eV/f.u.

abc: 8.8801 8.8801 3.9855
angles: 90.00 90.00 120.00
Last column: nearest neighbours and their distance in Å.
Space group P-62m (No. 189)
Symmetry-distinct sites (fractional):
Pm 0.0000 0.4008 0.0000 (multiplicity 3)  4 Pb 3.36, 1 Pt 3.56, 6 Pm 3.69-3.73
Pm 0.0000 0.7558 0.5000 (multiplicity 3)  2 Pt 2.94
Pt 0.0000 0.0000 0.0000 (multiplicity 1)  6 Pm 2.94
Pb 0.3333 0.6667 0.5000 (multiplicity 2)  9 Pm 3.36-3.43

---

# 2
Density functional theory data (PBE) for a relaxed structure of Pm4PtPb.

Results
M_tot   0.00 μB/atom
Formation energy from the elements   -3.62 eV/f.u.

abc: 6.3082 6.9720 8.9243
angles: 90.00 110.55 90.00
Last column: nearest neighbours and their distance in Å.
Space group P2_1/m (No. 11)
Symmetry-distinct sites (fractional):
Pm 0.0150 0.0022 0.2191 (multiplicity 4)  2 Pt 2.93-3.00
Pm 0.3983 0.2500 0.6260 (multiplicity 2)  1 Pt 2.92
Pm 0.4215 0.2500 0.0816 (multiplicity 2)  1 Pt 2.83
Pt 0.2420 0.7500 0.0604 (multiplicity 2)  6 Pm 2.83-3.00
Pb 0.2284 0.7500 0.5558 (multiplicity 2)  6 Pm 3.21-3.40

---

# 3
Density functional theory data (PBE) for a relaxed structure of PmPtPb.

Results
M_tot   0.00 μB/atom
Energy above the lowest structure with this stoichiometry   0.0831 eV per atom
Formation energy from the elements   -2.22 eV/f.u.

abc: 4.7876 4.7876 3.7155
angles: 90.00 90.00 120.00
Last column: nearest neighbours and their distance in Å.
Space group P-6m2 (No. 187)
Symmetry-distinct sites (fractional):
Pm 0.0000 0.0000 0.0000 (multiplicity 1)  6 Pb 3.33, 6 Pt 3.33, 2 Pm 3.72
Pt 0.6667 0.3333 0.5000 (multiplicity 1)  3 Pb 2.76
Pb 0.3333 0.6667 0.5000 (multiplicity 1)  3 Pt 2.76

---

Respective calculated total energy values: -5.2235, -5.3952, -5.5728 eV per atom.
Respective calculated density values: 9.03, 8.88, 12.32 Mg/m³.